[1]
Below is SmDyGaIr after structural relaxation, with properties calculated at the PBE-GGA level.

Cell lengths 7.085, 7.085, 7.085 Å; angles 90.00, 90.00, 90.00 degrees
Space group F-43m (No. 216)
Inequivalent atoms, fractional coordinates:
Sm (0.000, 0.000, 0.000)
Dy (0.000, 0.000, 0.500)
Ga (0.250, 0.250, 0.750)
Ir (0.250, 0.250, 0.250)

Results
Excess energy over the best structure of this formula in the dataset: 89 meV/atom
D(E_F): 12.84 states/eV per cell
Formation enthalpy at 0 K: -619 meV per atom
Raw total energy: -5.922 eV/atom

***

[2]
Below is SmDyGaIr after structural relaxation, with properties calculated at the PBE-GGA level.

Cell lengths 4.264, 4.056, 10.789 Å; angles 90.00, 90.00, 90.00 degrees
Space group Amm2 (No. 38)
Inequivalent atoms, fractional coordinates:
Sm (0.000, 0.000, 0.000)
Dy (0.500, 0.000, 0.282)
Ga (0.500, 0.000, 0.577)
Ir (0.000, 0.000, 0.719)

Results
Excess energy over the best structure of this formula in the dataset: 0 meV/atom
D(E_F): 6.65 states/eV per cell
Formation enthalpy at 0 K: -709 meV per atom
Raw total energy: -6.011 eV/atom

***

[3]
Below is Dy2TaGa3Ir4 after structural relaxation, with properties calculated at the PBE-GGA level.

Cell lengths 4.189, 4.189, 10.701 Å; angles 90.00, 90.00, 90.00 degrees
Space group P-4m2 (No. 115)
Inequivalent atoms, fractional coordinates:
Dy (0.000, 0.500, 0.224)
Ta (0.000, 0.000, 0.500)
Ga (0.000, 0.500, 0.873)
Ga (0.500, 0.500, 0.500)
Ir (0.000, 0.000, 0.000)
Ir (0.000, 0.500, 0.640)
Ir (0.500, 0.500, 0.000)

Results
D(E_F): 6.32 states/eV per cell
Formation enthalpy at 0 K: -690 meV per atom
Raw total energy: -7.248 eV/atom

***

[4]
Below is DyTh2Ga3Ir4 after structural relaxation, with properties calculated at the PBE-GGA level.

Cell lengths 4.219, 4.219, 11.324 Å; angles 90.00, 90.00, 90.00 degrees
Space group P-4m2 (No. 115)
Inequivalent atoms, fractional coordinates:
Dy (0.000, 0.000, 0.000)
Th (0.000, 0.500, 0.723)
Ga (0.000, 0.500, 0.381)
Ga (0.500, 0.500, 0.000)
Ir (0.000, 0.000, 0.500)
Ir (0.000, 0.500, 0.161)
Ir (0.500, 0.500, 0.500)

Results
D(E_F): 7.24 states/eV per cell
Formation enthalpy at 0 K: -753 meV per atom
Raw total energy: -7.149 eV/atom

***

[5]
Below is DyThGaIr after structural relaxation, with properties calculated at the PBE-GGA level.

Cell lengths 7.167, 7.167, 7.167 Å; angles 90.00, 90.00, 90.00 degrees
Space group F-43m (No. 216)
Inequivalent atoms, fractional coordinates:
Dy (0.000, 0.000, 0.000)
Th (0.000, 0.000, 0.500)
Ga (0.250, 0.250, 0.250)
Ir (0.250, 0.250, 0.750)

Results
D(E_F): 11.41 states/eV per cell
Formation enthalpy at 0 K: -580 meV per atom
Raw total energy: -6.557 eV/atom

***

[6]
Below is DyTmGaIr after structural relaxation, with properties calculated at the PBE-GGA level.

Cell lengths 4.298, 3.890, 10.588 Å; angles 90.00, 90.00, 90.00 degrees
Space group Amm2 (No. 38)
Inequivalent atoms, fractional coordinates:
Dy (0.000, 0.000, 0.000)
Tm (0.500, 0.000, 0.718)
Ga (0.000, 0.000, 0.287)
Ir (0.500, 0.000, 0.432)

Results
Excess energy over the best structure of this formula in the dataset: 0 meV/atom
D(E_F): 5.66 states/eV per cell
Formation enthalpy at 0 K: -761 meV per atom
Raw total energy: -6.001 eV/atom

***

[7]
Below is DyTmGaIr after structural relaxation, with properties calculated at the PBE-GGA level.

Cell lengths 6.961, 6.961, 6.961 Å; angles 90.00, 90.00, 90.00 degrees
Space group F-43m (No. 216)
Inequivalent atoms, fractional coordinates:
Dy (0.000, 0.000, 0.000)
Tm (0.000, 0.000, 0.500)
Ga (0.250, 0.250, 0.750)
Ir (0.250, 0.250, 0.250)

Results
Excess energy over the best structure of this formula in the dataset: 53 meV/atom
D(E_F): 8.79 states/eV per cell
Formation enthalpy at 0 K: -708 meV per atom
Raw total energy: -5.948 eV/atom

***

[8]
Below is DyYGaIr after structural relaxation, with properties calculated at the PBE-GGA level.

Cell lengths 4.345, 3.931, 10.624 Å; angles 90.00, 90.00, 90.00 degrees
Space group Amm2 (No. 38)
Inequivalent atoms, fractional coordinates:
Dy (0.000, 0.000, 0.000)
Y (0.500, 0.000, 0.282)
Ga (0.500, 0.000, 0.571)
Ir (0.000, 0.000, 0.712)

Results
Excess energy over the best structure of this formula in the dataset: 0 meV/atom
D(E_F): 5.43 states/eV per cell
Formation enthalpy at 0 K: -745 meV per atom
Raw total energy: -6.483 eV/atom